Fe2Pt2F, optimized geometry, DFT GGA+U; offset from the most stable computed form = 0.000 eV/f.u.; space group = P4/mbm; total energy = -5.26 eV per atom
1.0
7.230 0.000 0.000
0.000 7.230 0.000
0.000 0.000 3.067
Fe Pt F
4 4 2
direct
0.170 0.330 0.000
0.330 0.830 0.000
0.670 0.170 0.000
0.830 0.670 0.000
0.631 0.869 0.500
0.369 0.131 0.500
0.869 0.369 0.500
0.131 0.631 0.500
0.000 0.000 0.000
0.500 0.500 0.000